ReIrRh2: relaxed, PBE.

Results
E_tot: -145.20 eV per cell
ΔH_f (0 K): -0.072 eV/atom

abc: 5.4729 5.4856 7.6644
angles: 90.00 90.00 90.00
Positions (direct):
Re: 0.0000 0.0000 0.0000
Re: 0.0000 0.5000 0.5000
Re: 0.5000 0.0000 0.5000
Re: 0.5000 0.5000 0.0000
Ir: 0.2500 0.2500 0.7500
Ir: 0.2500 0.7500 0.2500
Ir: 0.7500 0.2500 0.2500
Ir: 0.7500 0.7500 0.7500
Rh: 0.0000 0.0000 0.5000
Rh: 0.0000 0.5000 0.0000
Rh: 0.2500 0.2500 0.2500
Rh: 0.2500 0.7500 0.7500
Rh: 0.5000 0.0000 0.0000
Rh: 0.5000 0.5000 0.5000
Rh: 0.7500 0.2500 0.7500
Rh: 0.7500 0.7500 0.2500